No. 1
A relaxed structure of Sr2MnAg, computed with PBE.

a = 3.7832 Å, b = 3.7832 Å, c = 8.8560 Å
α = 90.00°, β = 90.00°, γ = 90.00°
Closest atoms and distances in Å follow each position.
Positions (direct):
Sr 0.0000 0.0000 0.0000  1 Ag 3.27, 4 Mn 3.50
Sr 0.5000 0.5000 0.3826  1 Mn 3.21, 4 Ag 3.46
Mn 0.5000 0.5000 0.7450  4 Ag 2.86
Ag 0.0000 0.0000 0.6312  4 Mn 2.86

Results
Total DFT energy (no corrections), eV/atom: -3.63
ΔH_f (0 K), eV per atom: 0.21
Magnetic moment, Bohr magnetons per cell: 4.55
Calculated volume, Å³/cell: 126.8
Space-group type: P4mm (99)

=====

No. 2
A relaxed structure of Sr2MnAg, computed with PBE.

a = 9.4131 Å, b = 9.4131 Å, c = 9.4131 Å
α = 25.42°, β = 25.42°, γ = 25.42°
Closest atoms and distances in Å follow each position.
Positions (direct):
Sr 0.2505 0.2505 0.2505  3 Ag 3.29, 3 Mn 3.31
Sr 0.7495 0.7495 0.7495  3 Ag 3.29, 3 Mn 3.31
Mn 0.5000 0.5000 0.5000  6 Sr 3.31
Ag 0.0000 0.0000 0.0000  6 Sr 3.29

Results
Total DFT energy (no corrections), eV/atom: -3.45
ΔH_f (0 K), eV per atom: 0.39
Magnetic moment, Bohr magnetons per cell: 3.67
Calculated volume, Å³/cell: 135.3
Space-group type: R-3m (166)

=====

No. 3
A relaxed structure of Sr2MnAg, computed with PBE.

a = 7.0992 Å, b = 7.0992 Å, c = 7.0992 Å
α = 105.03°, β = 105.03°, γ = 118.77°
Closest atoms and distances in Å follow each position.
Positions (direct):
Sr 0.1112 0.1250 0.4862  2 Ag 3.11, 2 Mn 3.27
Sr 0.3750 0.8888 0.0138  2 Ag 3.11, 2 Mn 3.27
Sr 0.6388 0.6250 0.5138  2 Ag 3.11, 2 Mn 3.27
Sr 0.8750 0.3612 0.9862  2 Ag 3.11, 2 Mn 3.27
Mn 0.2500 0.7500 0.5000  4 Sr 3.27, 2 Ag 3.62
Mn 0.5000 0.5000 0.0000  4 Sr 3.27, 2 Ag 3.62
Ag 0.0000 0.0000 0.0000  4 Sr 3.11
Ag 0.7500 0.2500 0.5000  4 Sr 3.11

Results
Total DFT energy (no corrections), eV/atom: -3.36
ΔH_f (0 K), eV per atom: 0.49
Magnetic moment, Bohr magnetons per cell: 8.02
Calculated volume, Å³/cell: 269.9
Space-group type: I-42d (122)

=====

No. 4
A relaxed structure of SrMnTcAg2, computed with PBE.

a = 5.2712 Å, b = 5.2712 Å, c = 4.4434 Å
α = 90.00°, β = 90.00°, γ = 90.00°
Closest atoms and distances in Å follow each position.
Positions (direct):
Sr 0.0000 0.0000 0.0000  8 Ag 3.45, 4 Mn 3.73
Mn 0.5000 0.5000 0.0000  2 Tc 2.22
Tc 0.5000 0.5000 0.5000  2 Mn 2.22
Ag 0.0000 0.5000 0.5000  2 Tc 2.64
Ag 0.5000 0.0000 0.5000  2 Tc 2.64

Results
Total DFT energy (no corrections), eV/atom: -4.80
ΔH_f (0 K), eV per atom: 0.59
Magnetic moment, Bohr magnetons per cell: 2.35
Calculated volume, Å³/cell: 123.5
Space-group type: P4/mmm (123)